Entry 1:
Compound: AcZnPd2
Source: the Alexandria database
Functional: PBE
Structure: optimized geometry

```
AcZnPd2
1.0
6.1103 0.0000 0.0000
0.0000 7.1754 0.0000
0.0000 0.0000 7.6939
Pd Ac Zn
8 4 4
Direct
0.9157 0.0532 0.1759
0.9157 0.4468 0.1759
0.5843 0.0532 0.6759
0.0843 0.5532 0.8241
0.4157 0.5532 0.3241
0.5843 0.4468 0.6759
0.4157 0.9468 0.3241
0.0843 0.9468 0.8241
0.6488 0.7500 0.9703
0.1488 0.2500 0.5297
0.8512 0.7500 0.4703
0.3512 0.2500 0.0297
0.3454 0.7500 0.6210
0.6546 0.2500 0.3790
0.1546 0.7500 0.1210
0.8454 0.2500 0.8790
```

## Properties
E_tot: -4.6610 eV/atom
M_tot: 0.0 μB/f.u.
DOS at the Fermi energy: 0.5591 states/eV per atom
formation energy from the elements: -0.72 eV/atom
space group: Pnma (62)


Entry 2:
Compound: Ac2Zn3Pd5
Source: the Alexandria database
Functional: PBE
Structure: optimized geometry

```
Ac2Zn3Pd5
1.0
-1.8474 -4.2137 3.8066
4.6079 0.5774 7.5591
-5.4300 3.5930 6.0259
Pd Zn Ac
10 6 4
Direct
0.9587 0.7913 0.7913
0.2500 0.5000 0.5000
0.4587 0.7913 0.7913
0.7500 0.5000 0.5000
0.0413 0.2087 0.2087
0.5995 0.7246 0.0764
0.5413 0.2087 0.2087
0.9005 0.9236 0.2754
0.0995 0.0764 0.7246
0.4005 0.2754 0.9236
0.1446 0.2675 0.4432
0.2500 0.0000 0.0000
0.3554 0.5568 0.7325
0.8554 0.7325 0.5568
0.6446 0.4432 0.2675
0.7500 0.0000 0.0000
0.8690 0.3962 0.8659
0.6310 0.1341 0.6038
0.3690 0.8659 0.3962
0.1310 0.6038 0.1341
```

## Properties
E_tot: -4.4703 eV/atom
M_tot: 0.0 μB/f.u.
DOS at the Fermi energy: 0.3972 states/eV per atom
formation energy from the elements: -0.67 eV/atom
space group: Ibam (72)


Entry 3:
Compound: AcZnPd
Source: the Alexandria database
Functional: PBE
Structure: optimized geometry

```
AcZnPd
1.0
4.8964 0.0000 0.0000
2.4482 4.2404 0.0000
2.4482 1.4135 3.9979
Zn Pd Ac
1 1 1
Direct
0.5000 0.5000 0.5000
0.2500 0.2500 0.2500
0.0000 0.0000 0.0000
```

## Properties
E_tot: -4.0043 eV/atom
M_tot: 0.0 μB/f.u.
DOS at the Fermi energy: 0.8627 states/eV per atom
formation energy from the elements: -0.48 eV/atom
space group: F-43m (216)


Entry 4:
Compound: AcZnPd2
Source: the Alexandria database
Functional: PBE
Structure: optimized geometry

```
AcZnPd2
1.0
-3.3586 -0.4492 -2.8399
-3.9041 -3.6540 5.1952
-4.1231 9.2564 3.4120
Pd Zn Ac
8 4 4
Direct
0.2500 0.8683 0.1834
0.2500 0.7783 0.5619
0.7500 0.2217 0.4381
0.7500 0.1317 0.8166
0.2500 0.3683 0.3166
0.2500 0.2783 0.9381
0.7500 0.6317 0.6834
0.7500 0.7217 0.0619
0.7500 0.4683 0.8969
0.2500 0.0317 0.3969
0.2500 0.5317 0.1031
0.7500 0.9683 0.6031
0.2500 0.8344 0.8585
0.7500 0.1656 0.1415
0.7500 0.6656 0.3585
0.2500 0.3344 0.6415
```

## Properties
E_tot: -4.6720 eV/atom
M_tot: 0.0 μB/f.u.
DOS at the Fermi energy: 0.4399 states/eV per atom
formation energy from the elements: -0.73 eV/atom
space group: Pnma (62)